Crystalline PrCdPtRh at its relaxed geometry. Source: the Alexandria database, functional PBE-GGA.

```
data_PrCdPtRh
_chemical_formula_sum 'Pr4 Cd4 Pt4 Rh4'
_space_group_name_H-M_alt 'F -4 3 m'
_space_group_IT_number 216
_space_group_name_Hall 'F -4 2 3'
_cell_length_a 6.874
_cell_length_b 6.874
_cell_length_c 6.874
_cell_angle_alpha 90.00
_cell_angle_beta 90.00
_cell_angle_gamma 90.00
loop_
_atom_site_label
_atom_site_fract_x
_atom_site_fract_y
_atom_site_fract_z
_atom_site_occupancy
Pr1 0.000 0.000 0.000 1
Cd1 0.000 0.000 0.500 1
Pt1 0.250 0.250 0.750 1
Rh1 0.250 0.250 0.250 1
```

Formation energy: -0.540 eV/atom

Crystalline PrScCdPt at its relaxed geometry. Source: the Alexandria database, functional PBE-GGA.

```
data_PrScCdPt
_chemical_formula_sum 'Pr4 Sc4 Cd4 Pt4'
_space_group_name_H-M_alt 'F -4 3 m'
_space_group_IT_number 216
_space_group_name_Hall 'F -4 2 3'
_cell_length_a 7.183
_cell_length_b 7.183
_cell_length_c 7.183
_cell_angle_alpha 90.00
_cell_angle_beta 90.00
_cell_angle_gamma 90.00
loop_
_atom_site_label
_atom_site_fract_x
_atom_site_fract_y
_atom_site_fract_z
_atom_site_occupancy
Pr1 0.000 0.000 0.000 1
Sc1 0.000 0.000 0.500 1
Cd1 0.250 0.250 0.250 1
Pt1 0.250 0.250 0.750 1
```

Formation energy: -0.593 eV/atom

Crystalline PrCdSi2Pt2 at its relaxed geometry. Source: the Alexandria database, functional PBE-GGA.

```
data_PrCdSi2Pt2
_chemical_formula_sum 'Pr1 Cd1 Si2 Pt2'
_space_group_name_H-M_alt 'P -3 m 1'
_space_group_IT_number 164
_space_group_name_Hall '-P 3 2"'
_cell_length_a 4.1572
_cell_length_b 4.1572
_cell_length_c 7.8375
_cell_angle_alpha 90.00
_cell_angle_beta 90.00
_cell_angle_gamma 120.00
loop_
_atom_site_label
_atom_site_fract_x
_atom_site_fract_y
_atom_site_fract_z
_atom_site_occupancy
Pr1 0.0000 0.0000 0.0000 1
Cd1 0.0000 0.0000 0.5000 1
Si1 0.3333 0.6667 0.7433 1
Pt1 0.3333 0.6667 0.2958 1
```

Raw formation energy: -0.74 eV/atom

Crystalline PrSmCdPt at its relaxed geometry. Source: the Alexandria database, functional PBE-GGA.

```
data_PrSmCdPt
_chemical_formula_sum 'Pr4 Sm4 Cd4 Pt4'
_space_group_name_H-M_alt 'F -4 3 m'
_space_group_IT_number 216
_space_group_name_Hall 'F -4 2 3'
_cell_length_a 7.422
_cell_length_b 7.422
_cell_length_c 7.422
_cell_angle_alpha 90.00
_cell_angle_beta 90.00
_cell_angle_gamma 90.00
loop_
_atom_site_label
_atom_site_fract_x
_atom_site_fract_y
_atom_site_fract_z
_atom_site_occupancy
Pr1 0.000 0.000 0.000 1
Sm1 0.000 0.000 0.500 1
Cd1 0.250 0.250 0.250 1
Pt1 0.250 0.250 0.750 1
```

Formation energy: -0.625 eV/atom

Crystalline PrCdSnPt3 at its relaxed geometry. Source: the Alexandria database, functional PBE-GGA.

```
data_PrCdSnPt3
_chemical_formula_sum 'Pr4 Cd4 Sn4 Pt12'
_space_group_name_H-M_alt 'C m c m'
_space_group_IT_number 63
_space_group_name_Hall '-C 2c 2'
_cell_length_a 5.910
_cell_length_b 12.339
_cell_length_c 7.469
_cell_angle_alpha 90.00
_cell_angle_beta 90.00
_cell_angle_gamma 90.00
loop_
_atom_site_label
_atom_site_fract_x
_atom_site_fract_y
_atom_site_fract_z
_atom_site_occupancy
Pr1 0.000 0.155 0.250 1
Cd1 0.000 0.409 0.250 1
Sn1 0.000 0.136 0.750 1
Pt1 0.000 0.350 0.750 1
Pt2 0.236 0.000 0.000 1
```

Formation energy: -0.461 eV/atom

Crystalline Pr2CdSn4Pt3 at its relaxed geometry. Source: the Alexandria database, functional PBE-GGA.

```
data_Pr2CdSn4Pt3
_chemical_formula_sum 'Pr2 Cd1 Sn4 Pt3'
_space_group_name_H-M_alt 'P -4 m 2'
_space_group_IT_number 115
_space_group_name_Hall 'P -4 -2'
_cell_length_a 4.538
_cell_length_b 4.538
_cell_length_c 11.396
_cell_angle_alpha 90.00
_cell_angle_beta 90.00
_cell_angle_gamma 90.00
loop_
_atom_site_label
_atom_site_fract_x
_atom_site_fract_y
_atom_site_fract_z
_atom_site_occupancy
Pr1 0.000 0.500 0.250 1
Cd1 0.000 0.000 0.500 1
Sn1 0.000 0.000 0.000 1
Sn2 0.000 0.500 0.643 1
Sn3 0.500 0.500 0.000 1
Pt1 0.000 0.500 0.872 1
Pt2 0.500 0.500 0.500 1
```

Formation energy: -0.741 eV/atom

Crystalline TbPrCdPt at its relaxed geometry. Source: the Alexandria database, functional PBE-GGA.

```
data_TbPrCdPt
_chemical_formula_sum 'Tb4 Pr4 Cd4 Pt4'
_space_group_name_H-M_alt 'F -4 3 m'
_space_group_IT_number 216
_space_group_name_Hall 'F -4 2 3'
_cell_length_a 7.367
_cell_length_b 7.367
_cell_length_c 7.367
_cell_angle_alpha 90.00
_cell_angle_beta 90.00
_cell_angle_gamma 90.00
loop_
_atom_site_label
_atom_site_fract_x
_atom_site_fract_y
_atom_site_fract_z
_atom_site_occupancy
Tb1 0.000 0.000 0.000 1
Pr1 0.000 0.000 0.500 1
Cd1 0.250 0.250 0.250 1
Pt1 0.250 0.250 0.750 1
```

Formation energy: -0.646 eV/atom

Crystalline PrYCdPt at its relaxed geometry. Source: the Alexandria database, functional PBE-GGA.

```
data_PrYCdPt
_chemical_formula_sum 'Pr4 Y4 Cd4 Pt4'
_space_group_name_H-M_alt 'F -4 3 m'
_space_group_IT_number 216
_space_group_name_Hall 'F -4 2 3'
_cell_length_a 7.361
_cell_length_b 7.361
_cell_length_c 7.361
_cell_angle_alpha 90.00
_cell_angle_beta 90.00
_cell_angle_gamma 90.00
loop_
_atom_site_label
_atom_site_fract_x
_atom_site_fract_y
_atom_site_fract_z
_atom_site_occupancy
Pr1 0.000 0.000 0.000 1
Y1 0.000 0.000 0.500 1
Cd1 0.250 0.250 0.250 1
Pt1 0.250 0.250 0.750 1
```

Formation energy: -0.652 eV/atom

Crystalline Pr2Zn4CdPt3 at its relaxed geometry. Source: the Alexandria database, functional PBE-GGA.

```
data_Pr2Zn4CdPt3
_chemical_formula_sum 'Pr2 Zn4 Cd1 Pt3'
_space_group_name_H-M_alt 'P -4 m 2'
_space_group_IT_number 115
_space_group_name_Hall 'P -4 -2'
_cell_length_a 4.133
_cell_length_b 4.133
_cell_length_c 11.712
_cell_angle_alpha 90.00
_cell_angle_beta 90.00
_cell_angle_gamma 90.00
loop_
_atom_site_label
_atom_site_fract_x
_atom_site_fract_y
_atom_site_fract_z
_atom_site_occupancy
Pr1 0.000 0.500 0.235 1
Zn1 0.000 0.000 0.000 1
Zn2 0.000 0.500 0.642 1
Zn3 0.500 0.500 0.000 1
Cd1 0.000 0.000 0.500 1
Pt1 0.000 0.500 0.861 1
Pt2 0.500 0.500 0.500 1
```

Formation energy: -0.655 eV/atom

Crystalline PrZnCdPt at its relaxed geometry. Source: the Alexandria database, functional PBE-GGA.

```
data_PrZnCdPt
_chemical_formula_sum 'Pr4 Zn4 Cd4 Pt4'
_space_group_name_H-M_alt 'F -4 3 m'
_space_group_IT_number 216
_space_group_name_Hall 'F -4 2 3'
_cell_length_a 6.989
_cell_length_b 6.989
_cell_length_c 6.989
_cell_angle_alpha 90.00
_cell_angle_beta 90.00
_cell_angle_gamma 90.00
loop_
_atom_site_label
_atom_site_fract_x
_atom_site_fract_y
_atom_site_fract_z
_atom_site_occupancy
Pr1 0.000 0.000 0.000 1
Zn1 0.250 0.250 0.250 1
Cd1 0.000 0.000 0.500 1
Pt1 0.250 0.250 0.750 1
```

Formation energy: -0.523 eV/atom

Crystalline PrZnCdPt3 at its relaxed geometry. Source: the Alexandria database, functional PBE-GGA.

```
data_PrZnCdPt3
_chemical_formula_sum 'Pr4 Zn4 Cd4 Pt12'
_space_group_name_H-M_alt 'C m c m'
_space_group_IT_number 63
_space_group_name_Hall '-C 2c 2'
_cell_length_a 6.998
_cell_length_b 12.532
_cell_length_c 5.749
_cell_angle_alpha 90.00
_cell_angle_beta 90.00
_cell_angle_gamma 90.00
loop_
_atom_site_label
_atom_site_fract_x
_atom_site_fract_y
_atom_site_fract_z
_atom_site_occupancy
Pr1 0.000 0.188 0.250 1
Zn1 0.000 0.136 0.750 1
Cd1 0.000 0.436 0.250 1
Pt1 0.000 0.334 0.750 1
Pt2 0.195 0.000 0.000 1
```

Formation energy: -0.415 eV/atom

Crystalline Pr2Zn3CdPt4 at its relaxed geometry. Source: the Alexandria database, functional PBE-GGA.

```
data_Pr2Zn3CdPt4
_chemical_formula_sum 'Pr2 Zn3 Cd1 Pt4'
_space_group_name_H-M_alt 'P -4 m 2'
_space_group_IT_number 115
_space_group_name_Hall 'P -4 -2'
_cell_length_a 4.160
_cell_length_b 4.160
_cell_length_c 11.538
_cell_angle_alpha 90.00
_cell_angle_beta 90.00
_cell_angle_gamma 90.00
loop_
_atom_site_label
_atom_site_fract_x
_atom_site_fract_y
_atom_site_fract_z
_atom_site_occupancy
Pr1 0.000 0.500 0.238 1
Zn1 0.000 0.500 0.872 1
Zn2 0.500 0.500 0.500 1
Cd1 0.000 0.000 0.500 1
Pt1 0.000 0.000 0.000 1
Pt2 0.000 0.500 0.655 1
Pt3 0.500 0.500 0.000 1
```

Formation energy: -0.727 eV/atom

For reference, electronic total energy by record: -5.312; -5.109; -5.513; -4.739; -5.098; -5.202; -4.737; -5.202; -4.024; -3.775; -4.597; -4.573 eV per atom.